(one)
Al3SiO | PBE-GGA | optimized geometry

Cell: 4.7333 4.7333 4.7333 Å, 90.00 90.00 90.00°
Space group Pm-3m (No. 221)
Symmetry-distinct sites (fractional):
Al: 0.0000 0.0000 0.5000 (multiplicity 3)
Si: 0.0000 0.0000 0.0000 (multiplicity 1)
O: 0.5000 0.5000 0.5000 (multiplicity 1)

DOS(E_F)   3.07 states/eV/f.u.


(two)
Al3SiO | PBE-GGA | optimized geometry

Cell: 4.1669 4.1669 4.1669 Å, 90.00 90.00 90.00°
Space group Pm-3m (No. 221)
Symmetry-distinct sites (fractional):
Al: 0.0000 0.0000 0.5000 (multiplicity 3)
Si: 0.5000 0.5000 0.5000 (multiplicity 1)
O: 0.0000 0.0000 0.0000 (multiplicity 1)

DOS(E_F)   1.95 states/eV/f.u.


Q: What are the energies relative to the best structure? A: (one) 1031; (two) 0, in meV/atom.


(one)
AlSiO2 | PBE-GGA | optimized geometry

Cell: 5.5650 5.5650 5.5650 Å, 90.00 90.00 90.00°
Space group Fm-3m (No. 225)
Symmetry-distinct sites (fractional):
Al: 0.0000 0.0000 0.0000 (multiplicity 4)
Si: 0.0000 0.0000 0.5000 (multiplicity 4)
O: 0.2500 0.2500 0.2500 (multiplicity 8)

DOS(E_F)   1.02 states/eV/f.u.


(two)
AlSiO2 | PBE-GGA | optimized geometry

Cell: 2.7835 2.7835 17.7664 Å, 90.00 90.00 120.00°
Space group R-3m (No. 166, hexagonal axes)
Symmetry-distinct sites (fractional):
Al: 0.0000 0.0000 0.0000 (multiplicity 3)
Si: 0.0000 0.0000 0.5000 (multiplicity 3)
O: 0.0000 0.0000 0.3893 (multiplicity 6)

DOS(E_F)   0.39 states/eV/f.u.


Q: What are the energies relative to the best structure? A: (one) 1695; (two) 0, in meV/atom.